CsBP | PBE | optimized geometry

a = 9.9625 Å, b = 7.2223 Å, c = 7.3108 Å
α = 90.00°, β = 112.07°, γ = 90.00°
Closest atoms and distances in Å follow each position.
Space group C2/m (No. 12)
Unique sites:
1 Cs 0.2406 0.0000 0.2255 [4 per cell]  4 B 3.61-3.65, 5 P 3.77-3.92
2 B 0.0000 0.3799 0.0000 [4 per cell]  1 B 1.73, 2 P 1.85
3 P 0.1297 0.5000 0.2188 [4 per cell]  2 B 1.85

The total energy is -4.344 eV/atom. The magnetization comes out at 0.0 μB per cell.